Entry 1:
{
  "formula": "Sc5Pb3",
  "functional": "SCAN",
  "state": "single point on PBEsol structure",
  "polymorph_energy_ev_per_atom": 0.058,
  "m_tot_mub_per_atom": 0.1847,
  "space_group": "No. 140",
  "delta_e_f_ev_per_atom": -0.650,
  "lattice_angstrom": [[-2.3687, -3.4845, 4.1094], [6.0410, -4.5273, 3.8579], [-0.3073, 4.0283, 7.4533]],
  "species": ["Pb", "Sc", "Pb", "Sc", "Sc", "Sc", "Pb", "Pb", "Sc", "Sc", "Sc", "Pb", "Sc", "Sc", "Pb", "Sc"],
  "fractional_positions": [[0.6634, 0.5000, 0.1732], [0.7757, 0.1453, 0.3032], [0.3366, 0.5000, 0.8268], [0.2757, 0.3032, 0.1453], [0.2243, 0.8547, 0.6968], [0.0790, 0.6968, 0.1453], [0.1634, 0.1732, 0.5000], [0.7500, 0.0000, 0.0000], [0.5790, 0.1453, 0.6968], [0.2500, 0.5000, 0.5000], [0.7243, 0.6968, 0.8547], [0.2500, 0.0000, 0.0000], [0.7500, 0.5000, 0.5000], [0.4210, 0.8547, 0.3032], [0.8366, 0.8268, 0.5000], [0.9210, 0.3032, 0.8547]]
}

Entry 2:
{
  "formula": "Al2Cu",
  "functional": "SCAN",
  "state": "single point on PBEsol structure",
  "m_tot_mub_per_atom": 0.0000,
  "space_group": "No. 141",
  "delta_e_f_ev_per_atom": -0.149,
  "lattice_angstrom": [[2.7725, 0.0000, 0.0000], [0.0000, 2.7725, 0.0000], [-1.3863, -1.3863, 11.5072]],
  "species": ["Cu", "Cu", "Al", "Al", "Al", "Al"],
  "fractional_positions": [[0.2500, 0.7500, 0.5000], [0.0000, 0.0000, 0.0000], [0.8225, 0.3225, 0.6450], [0.6775, 0.1775, 0.3550], [0.5725, 0.5725, 0.1450], [0.4275, 0.4275, 0.8550]]
}

Entry 3:
{
  "formula": "TeIrRh2",
  "functional": "SCAN",
  "state": "single point on PBEsol structure",
  "m_tot_mub_per_atom": 0.0000,
  "raw_formation_energy_ev_per_fu": 2.56,
  "space_group": "No. 35",
  "lattice_angstrom": [[2.8373, 0.0000, 0.0000], [-1.4187, 2.4604, 0.0000], [0.0000, 0.0000, 9.2528]],
  "species": ["Te", "Rh", "Rh", "Ir"],
  "fractional_positions": [[0.0000, 0.0000, 0.4949], [0.0000, 0.0000, 0.0010], [0.5000, 0.0000, 0.2401], [0.5000, 0.0000, 0.7640]]
}

Entry 4:
{
  "formula": "YTlAs2",
  "functional": "SCAN",
  "state": "single point on PBEsol structure",
  "polymorph_energy_ev_per_atom": 0.059,
  "m_tot_mub_per_atom": 0.0000,
  "space_group": "No. 8",
  "delta_e_f_ev_per_atom": -0.629,
  "lattice_angstrom": [[-0.1511, -3.2707, -2.2329], [3.8478, -1.1323, 1.3981], [-2.8308, -0.9048, 5.0339]],
  "species": ["As", "As", "Y", "Tl"],
  "fractional_positions": [[0.0166, 0.1072, 0.0333], [0.2546, 0.6565, 0.5092], [0.7321, 0.1525, 0.4642], [0.4967, 0.5839, 0.9934]]
}